Entry 1:
Crystalline KNiAg4 at its relaxed geometry. Source: Alexandria via LeMat-Bulk, functional PBE.

Unit cell a=5.6226 b=5.6226 c=5.6226 alpha=60.00 beta=60.00 gamma=60.00
Closest atoms and distances in Å follow each position.
Positions (direct):
Ag 0.3744 0.3744 0.8769  6 Ag 2.80-2.83
Ag 0.3744 0.8769 0.3744  6 Ag 2.80-2.83
K 0.7500 0.7500 0.7500  12 Ag 3.30, 4 Ni 3.44
Ni 0.0000 0.0000 0.0000  12 Ag 3.30, 4 K 3.44
Ag 0.8769 0.3744 0.3744  6 Ag 2.80-2.83
Ag 0.3744 0.3744 0.3744  6 Ag 2.80-2.83

- Formation enthalpy at 0 K: 0.361 eV per atom
- Space-group type: F-43m

---

Entry 2:
Crystalline Tb3Tl2Cd3 at its relaxed geometry. Source: Alexandria via LeMat-Bulk, functional PBE.

Unit cell a=4.3418 b=7.5749 c=7.5749 alpha=120.00 beta=90.00 gamma=90.00
Closest atoms and distances in Å follow each position.
Positions (direct):
Cd 0.0000 0.0000 0.2268  2 Cd 2.98, 2 Tl 3.01
Tb 0.5000 0.3976 0.3976  4 Tl 3.18, 4 Cd 3.40
Tb 0.5000 0.6024 0.0000  4 Tl 3.18, 4 Cd 3.40
Cd 0.0000 0.7732 0.7732  2 Cd 2.98, 2 Tl 3.01
Tb 0.5000 0.0000 0.6024  4 Tl 3.18, 4 Cd 3.40
Tl 0.0000 0.3333 0.6667  3 Cd 3.01, 6 Tb 3.18
Tl 0.0000 0.6667 0.3333  3 Cd 3.01, 6 Tb 3.18
Cd 0.0000 0.2268 0.0000  2 Cd 2.98, 2 Tl 3.01

- Formation enthalpy at 0 K: -0.253 eV per atom
- Space-group type: P-62m

---

Entry 3:
Crystalline HfNbGa4 at its relaxed geometry. Source: Alexandria via LeMat-Bulk, functional PBE.

Unit cell a=5.1820 b=5.1820 c=5.1820 alpha=60.00 beta=60.00 gamma=60.00
Closest atoms and distances in Å follow each position.
Positions (direct):
Ga 0.6253 0.1240 0.6253  6 Ga 2.58-2.60
Hf 0.0000 0.0000 0.0000  12 Ga 3.04, 4 Nb 3.17
Ga 0.6253 0.6253 0.6253  6 Ga 2.58-2.60
Ga 0.6253 0.6253 0.1240  6 Ga 2.58-2.60
Nb 0.2500 0.2500 0.2500  12 Ga 3.04, 4 Hf 3.17
Ga 0.1240 0.6253 0.6253  6 Ga 2.58-2.60

- Formation enthalpy at 0 K: -0.252 eV per atom
- Space-group type: F-43m